8
Lattice="-2.777 2.777 3.318 2.777 -2.777 3.318 2.777 2.777 -3.318" Properties=species:S:1:pos:R:3 comment="PBE+U Al2CoO, optimized geometry" spacegroup="No. 122" total_magnetization_mub_per_atom=0.249 e_tot_ev_per_fu=-20.4 pbc="T T T"
Al 4.165 1.040 -0.830
Al 1.040 1.388 0.830
Al -1.388 1.737 2.489
Al 1.737 1.388 4.148
Co 2.777 0.000 1.659
Co 0.000 0.000 3.318
O 0.000 0.000 0.000
O 0.000 2.777 1.659